Below is a geometry-optimized SmHo6Cd2 structure, with properties calculated at the PBE level.

Cell: 3.727 6.562 11.674 Å, 75.17 80.81 73.50°
Element x y z (fractional)
Sm 0.000 0.000 0.000
Ho 0.685 0.507 0.124
Ho 0.315 0.493 0.876
Ho 0.313 0.792 0.583
Ho 0.985 0.688 0.341
Ho 0.015 0.312 0.659
Ho 0.687 0.208 0.417
Cd 0.351 0.084 0.214
Cd 0.649 0.916 0.786

Uncorrected energy in eV per formula unit: -35.2
Formation energy in eV/atom: -0.13